A relaxed ZrSc crystal, computed with PBEsol.

abc: 9.8996 8.5601 6.3238
angles: 90.00 90.00 90.00
Last column: nearest neighbours and their distance in Å.
Sites, in units of the cell vectors:
Zr1 0.1222 0.0811 0.2500  3 Sc 2.82-2.86
Zr2 0.1222 0.4189 0.7500  3 Sc 2.82-2.86
Zr3 0.1267 0.7500 0.0000  8 Zr 3.16-3.27, 6 Sc 3.26-3.28
Zr4 0.1267 0.7500 0.5000  8 Zr 3.16-3.27, 6 Sc 3.26-3.28
Zr5 0.3702 0.5854 0.2500  5 Sc 2.84-3.16
Zr6 0.3702 0.9146 0.7500  5 Sc 2.84-3.16
Zr7 0.6298 0.0854 0.2500  5 Sc 2.84-3.16
Zr8 0.6298 0.4146 0.7500  5 Sc 2.84-3.16
Zr9 0.8733 0.2500 0.0000  8 Zr 3.16-3.27, 6 Sc 3.26-3.28
Zr10 0.8733 0.2500 0.5000  8 Zr 3.16-3.27, 6 Sc 3.26-3.28
Zr11 0.8778 0.5811 0.2500  3 Sc 2.82-2.86
Zr12 0.8778 0.9189 0.7500  3 Sc 2.82-2.86
Sc1 0.1237 0.0852 0.7500  3 Zr 2.82-2.86
Sc2 0.1237 0.4148 0.2500  3 Zr 2.82-2.86
Sc3 0.3746 0.5817 0.7500  5 Zr 2.85-3.16
Sc4 0.3746 0.9183 0.2500  5 Zr 2.85-3.16
Sc5 0.3765 0.2500 0.0000  8 Sc 3.16-3.28, 6 Zr 3.28-3.31
Sc6 0.3765 0.2500 0.5000  8 Sc 3.16-3.28, 6 Zr 3.28-3.31
Sc7 0.6235 0.7500 0.0000  8 Sc 3.16-3.28, 6 Zr 3.28-3.31
Sc8 0.6235 0.7500 0.5000  8 Sc 3.16-3.28, 6 Zr 3.28-3.31
Sc9 0.6254 0.0817 0.7500  5 Zr 2.85-3.16
Sc10 0.6254 0.4183 0.2500  5 Zr 2.85-3.16
Sc11 0.8763 0.5852 0.7500  3 Zr 2.82-2.86
Sc12 0.8763 0.9148 0.2500  3 Zr 2.82-2.86

Values from the calculation:
- Energy of formation from the pure elements: 0.06 eV/f.u.
- E_tot: -187.58 eV/cell
- M_tot: 0.001 μB per cell
- D(E_F): 35.9 states/eV per cell